Record 1
Here is Nd5HoMg6 after structural relaxation from the Alexandria database. Energies are from PBE.

Cell lengths 5.465, 16.413, 7.748 Å; angles 90.00, 90.00, 90.00 degrees
Space group Cmmm (No. 65)
Symmetry-distinct sites (fractional):
Nd 0.000 0.000 0.000
Nd 0.000 0.332 0.000
Nd 0.000 0.335 0.500
Ho 0.000 0.000 0.500
Mg 0.000 0.165 0.254
Mg 0.000 0.500 0.253

- Calculated density: 4.93 g/cm³
- VASP energy: -3.270 eV/atom
- M_tot: 0.00 μB/f.u.

=====

Record 2
Here is Nd5HoMg after structural relaxation from the Alexandria database. Energies are from PBE.

Cell lengths 8.729, 9.662, 12.006 Å; angles 90.00, 111.29, 90.00 degrees
Space group C2/c (No. 15)
Symmetry-distinct sites (fractional):
Nd 0.000 0.136 0.250
Nd 0.115 0.343 0.537
Nd 0.207 0.189 0.844
Ho 0.000 0.492 0.250
Mg 0.000 0.000 0.000

- Calculated density: 6.41 g/cm³
- VASP energy: -4.183 eV/atom
- M_tot: 0.00 μB/f.u.

=====

Record 3
Here is NdHo5Mg3 after structural relaxation from the Alexandria database. Energies are from PBE.

Cell lengths 11.392, 9.072, 12.082 Å; angles 90.00, 104.59, 90.00 degrees
Space group C2/m (No. 12)
Symmetry-distinct sites (fractional):
Nd 0.118 0.000 0.266
Ho 0.000 0.310 0.000
Ho 0.086 0.500 0.630
Ho 0.179 0.183 0.797
Ho 0.226 0.500 0.932
Mg 0.000 0.000 0.000
Mg 0.000 0.000 0.500
Mg 0.076 0.500 0.212
Mg 0.235 0.500 0.436

- Calculated density: 5.73 g/cm³
- VASP energy: -3.245 eV/atom
- M_tot: 0.00 μB/f.u.